Entry 1:
# Sr2Cd3In6, relaxed, DFT PBE-GGA
# **Spin magnetization**: 0.000 μB/f.u.
# **V**: 318.1 Å³/f.u.
# **SG**: No. 189
# **Formation energy from the elements**: -0.23 eV/atom
data_Sr2Cd3In6
_symmetry_space_group_name_H-M 'P 1'
_symmetry_Int_Tables_number 1
_symmetry_space_group_name_Hall 'P 1'
_cell_length_a 8.7976
_cell_length_b 8.7976
_cell_length_c 4.7460
_cell_angle_alpha 90.00
_cell_angle_beta 90.00
_cell_angle_gamma 120.00
loop_
_atom_site_label
_atom_site_fract_x
_atom_site_fract_y
_atom_site_fract_z
_atom_site_occupancy
Sr1 0.3333 0.6667 0.0000 1
Sr2 0.6667 0.3333 0.0000 1
Cd1 0.0000 0.6165 0.5000 1
Cd2 0.3835 0.3835 0.5000 1
Cd3 0.6165 0.0000 0.5000 1
In1 0.0000 0.2938 0.5000 1
In2 0.0000 0.8033 0.0000 1
In3 0.1967 0.1967 0.0000 1
In4 0.2938 0.0000 0.5000 1
In5 0.7062 0.7062 0.5000 1
In6 0.8033 0.0000 0.0000 1

=====

Entry 2:
# Sr2CdIn, relaxed, DFT PBE-GGA
# **Offset from the most stable computed form**: 0.93 eV per formula unit
# **Spin magnetization**: 0.000 μB/f.u.
# **V**: 129.4 Å³/f.u.
# **SG**: No. 216
# **Formation energy from the elements**: -0.16 eV/atom
data_Sr2CdIn
_symmetry_space_group_name_H-M 'P 1'
_symmetry_Int_Tables_number 1
_symmetry_space_group_name_Hall 'P 1'
_cell_length_a 8.0287
_cell_length_b 8.0287
_cell_length_c 8.0287
_cell_angle_alpha 90.00
_cell_angle_beta 90.00
_cell_angle_gamma 90.00
loop_
_atom_site_label
_atom_site_fract_x
_atom_site_fract_y
_atom_site_fract_z
_atom_site_occupancy
Sr1 0.0000 0.0000 0.0000 1
Sr2 0.0000 0.5000 0.5000 1
Sr3 0.2500 0.2500 0.2500 1
Sr4 0.2500 0.7500 0.7500 1
Sr5 0.5000 0.0000 0.5000 1
Sr6 0.5000 0.5000 0.0000 1
Sr7 0.7500 0.2500 0.7500 1
Sr8 0.7500 0.7500 0.2500 1
Cd1 0.2500 0.2500 0.7500 1
Cd2 0.2500 0.7500 0.2500 1
Cd3 0.7500 0.2500 0.2500 1
Cd4 0.7500 0.7500 0.7500 1
In1 0.0000 0.0000 0.5000 1
In2 0.0000 0.5000 0.0000 1
In3 0.5000 0.0000 0.0000 1
In4 0.5000 0.5000 0.5000 1

=====

Entry 3:
# Sr3Cd8In, relaxed, DFT PBE-GGA
# **Spin magnetization**: 0.000 μB/f.u.
# **V**: 331.0 Å³/f.u.
# **SG**: No. 160
# **Formation energy from the elements**: -0.25 eV/atom
data_Sr3Cd8In
_symmetry_space_group_name_H-M 'P 1'
_symmetry_Int_Tables_number 1
_symmetry_space_group_name_Hall 'P 1'
_cell_length_a 10.6278
_cell_length_b 10.6278
_cell_length_c 10.6278
_cell_angle_alpha 33.80
_cell_angle_beta 33.80
_cell_angle_gamma 33.80
loop_
_atom_site_label
_atom_site_fract_x
_atom_site_fract_y
_atom_site_fract_z
_atom_site_occupancy
Sr1 0.0000 0.0000 0.0000 1
Sr2 0.1278 0.1278 0.1278 1
Sr3 0.5103 0.5103 0.5103 1
Cd1 0.0665 0.0665 0.5660 1
Cd2 0.0665 0.5660 0.0665 1
Cd3 0.0665 0.5656 0.5656 1
Cd4 0.3159 0.3159 0.3159 1
Cd5 0.5660 0.0665 0.0665 1
Cd6 0.5656 0.0665 0.5656 1
Cd7 0.5656 0.5656 0.0665 1
Cd8 0.8166 0.8166 0.8166 1
In1 0.6323 0.6323 0.6323 1

=====

Entry 4:
# SrCd7In5, relaxed, DFT PBE-GGA
# **Spin magnetization**: 0.000 μB/f.u.
# **V**: 342.9 Å³/f.u.
# **SG**: No. 44
# **Formation energy from the elements**: -0.06 eV/atom
data_SrCd7In5
_symmetry_space_group_name_H-M 'P 1'
_symmetry_Int_Tables_number 1
_symmetry_space_group_name_Hall 'P 1'
_cell_length_a 7.8735
_cell_length_b 7.8735
_cell_length_c 7.8735
_cell_angle_alpha 128.84
_cell_angle_beta 99.88
_cell_angle_gamma 101.61
loop_
_atom_site_label
_atom_site_fract_x
_atom_site_fract_y
_atom_site_fract_z
_atom_site_occupancy
Sr1 0.0000 0.0000 0.0000 1
Cd1 0.2092 0.7092 0.5000 1
Cd2 0.2223 0.5001 0.7222 1
Cd3 0.3533 0.9984 0.3550 1
Cd4 0.3547 0.3547 0.0000 1
Cd5 0.6434 0.9984 0.6450 1
Cd6 0.6493 0.6493 0.0000 1
Cd7 0.7779 0.5001 0.2778 1
In1 0.0043 0.5015 0.0057 1
In2 0.0043 0.9986 0.5028 1
In3 0.4958 0.5015 0.4972 1
In4 0.4958 0.9986 0.9943 1
In5 0.7822 0.2822 0.5000 1

=====

Entry 5:
# Sr8CdIn2, relaxed, DFT PBE-GGA
# **Spin magnetization**: 0.297 μB/f.u.
# **V**: 453.4 Å³/f.u.
# **SG**: No. 71
# **Formation energy from the elements**: -0.18 eV/atom
data_Sr8CdIn2
_symmetry_space_group_name_H-M 'P 1'
_symmetry_Int_Tables_number 1
_symmetry_space_group_name_Hall 'P 1'
_cell_length_a 9.8838
_cell_length_b 9.8838
_cell_length_c 9.8838
_cell_angle_alpha 146.29
_cell_angle_beta 120.80
_cell_angle_gamma 69.88
loop_
_atom_site_label
_atom_site_fract_x
_atom_site_fract_y
_atom_site_fract_z
_atom_site_occupancy
Sr1 0.1271 0.3397 0.7874 1
Sr2 0.1351 0.1351 0.0000 1
Sr3 0.3235 0.0000 0.3235 1
Sr4 0.4477 0.6603 0.7874 1
Sr5 0.5523 0.3397 0.2126 1
Sr6 0.6765 0.0000 0.6765 1
Sr7 0.8649 0.8649 0.0000 1
Sr8 0.8729 0.6603 0.2126 1
Cd1 0.0000 0.5000 0.5000 1
In1 0.3043 0.8043 0.5000 1
In2 0.6957 0.1957 0.5000 1

=====

Entry 6:
# Sr3Cd9In2, relaxed, DFT PBE-GGA
# **Spin magnetization**: 0.000 μB/f.u.
# **V**: 381.7 Å³/f.u.
# **SG**: No. 71
# **Formation energy from the elements**: -0.28 eV/atom
data_Sr3Cd9In2
_symmetry_space_group_name_H-M 'P 1'
_symmetry_Int_Tables_number 1
_symmetry_space_group_name_Hall 'P 1'
_cell_length_a 9.3751
_cell_length_b 9.3751
_cell_length_c 9.3751
_cell_angle_alpha 149.95
_cell_angle_beta 109.57
_cell_angle_gamma 78.43
loop_
_atom_site_label
_atom_site_fract_x
_atom_site_fract_y
_atom_site_fract_z
_atom_site_occupancy
Sr1 0.0000 0.0000 0.0000 1
Sr2 0.3035 0.3035 0.0000 1
Sr3 0.6965 0.6965 0.0000 1
Cd1 0.0314 0.6652 0.3661 1
Cd2 0.1468 0.8635 0.2832 1
Cd3 0.2991 0.6652 0.6339 1
Cd4 0.4197 0.1365 0.2832 1
Cd5 0.5000 0.0000 0.5000 1
Cd6 0.5803 0.8635 0.7168 1
Cd7 0.7009 0.3348 0.3661 1
Cd8 0.8532 0.1365 0.7168 1
Cd9 0.9686 0.3348 0.6339 1
In1 0.2992 0.5000 0.7992 1
In2 0.7008 0.5000 0.2008 1

=====

Entry 7:
# SrCd6In, relaxed, DFT PBE-GGA
# **Offset from the most stable computed form**: 0.00 eV per formula unit
# **Spin magnetization**: 0.000 μB/f.u.
# **V**: 218.0 Å³/f.u.
# **SG**: No. 123
# **Formation energy from the elements**: -0.14 eV/atom
data_SrCd6In
_symmetry_space_group_name_H-M 'P 1'
_symmetry_Int_Tables_number 1
_symmetry_space_group_name_Hall 'P 1'
_cell_length_a 4.7095
_cell_length_b 4.7095
_cell_length_c 9.8302
_cell_angle_alpha 90.00
_cell_angle_beta 90.00
_cell_angle_gamma 90.00
loop_
_atom_site_label
_atom_site_fract_x
_atom_site_fract_y
_atom_site_fract_z
_atom_site_occupancy
Sr1 0.0000 0.0000 0.0000 1
Cd1 0.0000 0.5000 0.3158 1
Cd2 0.0000 0.5000 0.6842 1
Cd3 0.5000 0.0000 0.3158 1
Cd4 0.5000 0.0000 0.6842 1
Cd5 0.5000 0.5000 0.1416 1
Cd6 0.5000 0.5000 0.8584 1
In1 0.0000 0.0000 0.5000 1

=====

Entry 8:
# Sr3Cd4In4, relaxed, DFT PBE-GGA
# **Offset from the most stable computed form**: 0.03 eV per formula unit
# **Spin magnetization**: 0.000 μB/f.u.
# **V**: 321.1 Å³/f.u.
# **SG**: No. 71
# **Formation energy from the elements**: -0.34 eV/atom
data_Sr3Cd4In4
_symmetry_space_group_name_H-M 'P 1'
_symmetry_Int_Tables_number 1
_symmetry_space_group_name_Hall 'P 1'
_cell_length_a 9.4643
_cell_length_b 9.4643
_cell_length_c 9.4643
_cell_angle_alpha 150.04
_cell_angle_beta 130.16
_cell_angle_gamma 59.25
loop_
_atom_site_label
_atom_site_fract_x
_atom_site_fract_y
_atom_site_fract_z
_atom_site_occupancy
Sr1 0.0000 0.0000 0.0000 1
Sr2 0.3703 0.8703 0.5000 1
Sr3 0.6297 0.1297 0.5000 1
Cd1 0.0241 0.3344 0.6896 1
Cd2 0.3552 0.6656 0.6896 1
Cd3 0.6448 0.3344 0.3104 1
Cd4 0.9759 0.6656 0.3104 1
In1 0.2205 0.2205 0.0000 1
In2 0.3180 0.5000 0.8180 1
In3 0.6820 0.5000 0.1820 1
In4 0.7795 0.7795 0.0000 1

=====

Entry 9:
# SrCdIn3, relaxed, DFT PBE-GGA
# **Spin magnetization**: 0.000 μB/f.u.
# **V**: 144.3 Å³/f.u.
# **SG**: No. 42
# **Formation energy from the elements**: -0.29 eV/atom
data_SrCdIn3
_symmetry_space_group_name_H-M 'P 1'
_symmetry_Int_Tables_number 1
_symmetry_space_group_name_Hall 'P 1'
_cell_length_a 7.1887
_cell_length_b 7.1860
_cell_length_c 4.7675
_cell_angle_alpha 70.66
_cell_angle_beta 70.60
_cell_angle_gamma 38.74
loop_
_atom_site_label
_atom_site_fract_x
_atom_site_fract_y
_atom_site_fract_z
_atom_site_occupancy
Sr1 0.0000 0.0000 0.0000 1
Cd1 0.6096 0.6096 0.3904 1
In1 0.2472 0.2472 0.2528 1
In2 0.3908 0.3908 0.6092 1
In3 0.7472 0.7472 0.7528 1

=====

Entry 10:
# SrCd6In4, relaxed, DFT PBE-GGA
# **Offset from the most stable computed form**: 1.27 eV per formula unit
# **Spin magnetization**: 0.000 μB/f.u.
# **V**: 328.6 Å³/f.u.
# **SG**: No. 121
# **Formation energy from the elements**: 0.03 eV/atom
data_SrCd6In4
_symmetry_space_group_name_H-M 'P 1'
_symmetry_Int_Tables_number 1
_symmetry_space_group_name_Hall 'P 1'
_cell_length_a 7.6520
_cell_length_b 7.6520
_cell_length_c 7.6520
_cell_angle_alpha 117.28
_cell_angle_beta 117.28
_cell_angle_gamma 94.79
loop_
_atom_site_label
_atom_site_fract_x
_atom_site_fract_y
_atom_site_fract_z
_atom_site_occupancy
Sr1 0.0000 0.0000 0.0000 1
Cd1 0.0000 0.5000 0.5000 1
Cd2 0.1925 0.4741 0.0000 1
Cd3 0.4741 0.1925 0.0000 1
Cd4 0.5000 0.0000 0.5000 1
Cd5 0.5259 0.5259 0.7184 1
Cd6 0.8075 0.8075 0.2816 1
In1 0.1739 0.1739 0.5659 1
In2 0.3920 0.8261 0.0000 1
In3 0.6080 0.6080 0.4341 1
In4 0.8261 0.3920 0.0000 1

=====

Entry 11:
# Sr3Cd4In2, relaxed, DFT PBE-GGA
# **Spin magnetization**: 0.000 μB/f.u.
# **V**: 268.8 Å³/f.u.
# **SG**: No. 12
# **Formation energy from the elements**: -0.39 eV/atom
data_Sr3Cd4In2
_symmetry_space_group_name_H-M 'P 1'
_symmetry_Int_Tables_number 1
_symmetry_space_group_name_Hall 'P 1'
_cell_length_a 6.4590
_cell_length_b 6.4590
_cell_length_c 9.7285
_cell_angle_alpha 112.23
_cell_angle_beta 112.23
_cell_angle_gamma 46.62
loop_
_atom_site_label
_atom_site_fract_x
_atom_site_fract_y
_atom_site_fract_z
_atom_site_occupancy
Sr1 0.0000 0.0000 0.0000 1
Sr2 0.3405 0.3405 0.3281 1
Sr3 0.6595 0.6595 0.6719 1
Cd1 0.0719 0.0719 0.4049 1
Cd2 0.2832 0.2832 0.9492 1
Cd3 0.7168 0.7168 0.0508 1
Cd4 0.9281 0.9281 0.5951 1
In1 0.3784 0.3784 0.7135 1
In2 0.6216 0.6216 0.2865 1

=====

Entry 12:
# Sr3CdIn, relaxed, DFT PBE-GGA
# **Offset from the most stable computed form**: 0.00 eV per formula unit
# **Spin magnetization**: 0.000 μB/f.u.
# **V**: 189.0 Å³/f.u.
# **SG**: No. 63
# **Formation energy from the elements**: -0.33 eV/atom
data_Sr3CdIn
_symmetry_space_group_name_H-M 'P 1'
_symmetry_Int_Tables_number 1
_symmetry_space_group_name_Hall 'P 1'
_cell_length_a 11.4876
_cell_length_b 11.4876
_cell_length_c 5.8302
_cell_angle_alpha 90.00
_cell_angle_beta 90.00
_cell_angle_gamma 150.58
loop_
_atom_site_label
_atom_site_fract_x
_atom_site_fract_y
_atom_site_fract_z
_atom_site_occupancy
Sr1 0.0725 0.9275 0.7500 1
Sr2 0.2494 0.7506 0.7500 1
Sr3 0.4263 0.5737 0.7500 1
Sr4 0.5737 0.4263 0.2500 1
Sr5 0.7506 0.2494 0.2500 1
Sr6 0.9275 0.0725 0.2500 1
Cd1 0.3405 0.6595 0.2500 1
Cd2 0.6595 0.3405 0.7500 1
In1 0.1578 0.8422 0.2500 1
In2 0.8422 0.1578 0.7500 1

=====

Q: Which of these has the lowest formation energy from the elements?
A: Sr3Cd4In2

=====

Q: What is the formula in the seventh record?
A: SrCd6In

=====

Q: Which of these has the lowest formation energy from the elements?
A: Sr3Cd4In2

=====

Repeat the second record exactly.
# Sr2CdIn, relaxed, DFT PBE-GGA
# **Offset from the most stable computed form**: 0.93 eV per formula unit
# **Spin magnetization**: 0.000 μB/f.u.
# **V**: 129.4 Å³/f.u.
# **SG**: No. 216
# **Formation energy from the elements**: -0.16 eV/atom
data_Sr2CdIn
_symmetry_space_group_name_H-M 'P 1'
_symmetry_Int_Tables_number 1
_symmetry_space_group_name_Hall 'P 1'
_cell_length_a 8.0287
_cell_length_b 8.0287
_cell_length_c 8.0287
_cell_angle_alpha 90.00
_cell_angle_beta 90.00
_cell_angle_gamma 90.00
loop_
_atom_site_label
_atom_site_fract_x
_atom_site_fract_y
_atom_site_fract_z
_atom_site_occupancy
Sr1 0.0000 0.0000 0.0000 1
Sr2 0.0000 0.5000 0.5000 1
Sr3 0.2500 0.2500 0.2500 1
Sr4 0.2500 0.7500 0.7500 1
Sr5 0.5000 0.0000 0.5000 1
Sr6 0.5000 0.5000 0.0000 1
Sr7 0.7500 0.2500 0.7500 1
Sr8 0.7500 0.7500 0.2500 1
Cd1 0.2500 0.2500 0.7500 1
Cd2 0.2500 0.7500 0.2500 1
Cd3 0.7500 0.2500 0.2500 1
Cd4 0.7500 0.7500 0.7500 1
In1 0.0000 0.0000 0.5000 1
In2 0.0000 0.5000 0.0000 1
In3 0.5000 0.0000 0.0000 1
In4 0.5000 0.5000 0.5000 1